This record from Alexandria describes TiCl3 after structural relaxation. The functional is GGA-PBE.

The space group is C2/m (No. 12) and the conventional cell measures 6.1028, 10.4948 and 6.8623 Å, with angles of 90.00, 106.78 and 90.00 degrees. The inequivalent atoms are Ti at (0.0000, 0.1598, 0.0000), Cl at (0.2224, 0.0000, 0.2221) and Cl at (0.2445, 0.3251, 0.2103).

The calculation puts the formation energy from raw total energies at -1585 meV per atom. Its crystal system is monoclinic. For the total energy, the calculation gives -4.944 eV/atom.